Entry 1:
10
Lattice="6.049 0.000 0.000 3.019 5.246 0.000 3.017 1.748 4.950" Properties=species:S:1:pos:R:3 comment="ErMnAg2F6 PBE+U optimized geometry" final_energy_ev_per_atom=-5.31 spacegroup=P-1 m_tot_mub_per_cell=5.03 pbc="T T T"
Er 0.000 0.000 0.000
Mn 6.042 3.497 2.475
Ag 3.019 1.753 1.237
Ag 9.066 5.241 3.713
F 4.350 2.520 3.407
F 6.043 5.028 4.005
F 4.724 4.686 1.238
F 7.361 2.308 3.712
F 6.042 1.965 0.944
F 7.735 4.474 1.543



Entry 2:
18
Lattice="5.259 0.000 0.000 0.000 5.259 0.000 0.000 0.000 10.448" Properties=species:S:1:pos:R:3 comment="ErMnAgF6 PBE+U optimized geometry" final_energy_ev_per_atom=-5.84 spacegroup=P4_2nm m_tot_mub_per_cell=9.91 pbc="T T T"
Er 0.000 0.000 0.000
Er 2.629 2.629 5.224
Mn 0.000 0.000 3.528
Mn 2.629 2.629 8.752
Ag 0.000 0.000 6.990
Ag 2.629 2.629 1.766
F 0.921 0.921 1.769
F 1.103 1.103 5.014
F 1.127 1.127 8.981
F 1.502 3.757 3.756
F 1.526 3.733 10.238
F 1.709 3.550 6.994
F 3.550 1.709 6.994
F 3.733 1.526 10.238
F 3.757 1.502 3.756
F 4.132 4.132 8.981
F 4.156 4.156 5.014
F 4.338 4.338 1.769



Copy entry 2 word for word.
18
Lattice="5.259 0.000 0.000 0.000 5.259 0.000 0.000 0.000 10.448" Properties=species:S:1:pos:R:3 comment="ErMnAgF6 PBE+U optimized geometry" final_energy_ev_per_atom=-5.84 spacegroup=P4_2nm m_tot_mub_per_cell=9.91 pbc="T T T"
Er 0.000 0.000 0.000
Er 2.629 2.629 5.224
Mn 0.000 0.000 3.528
Mn 2.629 2.629 8.752
Ag 0.000 0.000 6.990
Ag 2.629 2.629 1.766
F 0.921 0.921 1.769
F 1.103 1.103 5.014
F 1.127 1.127 8.981
F 1.502 3.757 3.756
F 1.526 3.733 10.238
F 1.709 3.550 6.994
F 3.550 1.709 6.994
F 3.733 1.526 10.238
F 3.757 1.502 3.756
F 4.132 4.132 8.981
F 4.156 4.156 5.014
F 4.338 4.338 1.769